A relaxed SrAc6CoNi crystal, computed with PBE.

Cell lengths 7.271, 7.271, 9.587 Å; angles 90.00, 90.00, 60.00 degrees
Fractional positions:
Ac (0.340, 0.655, 0.334)
Ac (0.005, 0.340, 0.334)
Ac (0.655, 0.005, 0.334)
Ac (0.005, 0.655, 0.666)
Ac (0.340, 0.005, 0.666)
Ac (0.655, 0.340, 0.666)
Co (0.333, 0.333, 0.500)
Sr (0.000, 0.000, 0.000)
Ni (0.667, 0.667, 0.500)

Properties
Symmetry = No. 149
Formation energy = 127.8 meV/atom
Uncorrected energy = -38.1 eV/f.u.